1.
## BaNi2P2 (PBE-GGA)

Data for BaNi2P2 after structural relaxation.

Cell: 3.945 3.945 6.613 Å, 107.34 107.34 90.04°
Positions (direct):
Ni  0.750  0.250  0.500
P  0.341  0.341  0.682
Ni  0.250  0.750  0.500
Ba  0.000  0.000  0.000
P  0.659  0.659  0.318

Computed properties:
The volume comes out at 93.3 Å³ per cell. Its space-group type is No. 139. The calculation puts the calculated formation energy at -775 meV per atom. The mass density comes out at 5.6 g/cm³.

2.
## TlHgIO2 (PBE-GGA)

Data for TlHgIO2 after structural relaxation.

Cell: 4.264 4.264 6.924 Å, 90.00 90.00 90.00°
Positions (direct):
O  0.000  0.500  0.000
I  0.000  0.000  0.500
Tl  0.000  0.000  0.000
Hg  0.500  0.500  0.500
O  0.500  0.000  0.000

Computed properties:
The volume comes out at 125.9 Å³ per cell. Its space-group type is No. 123. The relative energy among the computed polymorphs is 0 meV/atom. The mass density comes out at 7.4 g/cm³. Its formation energy from raw total energies is 115 meV/atom.

3.
## Tl4CdPb5 (PBE-GGA)

Data for Tl4CdPb5 after structural relaxation.

Cell: 3.402 3.402 26.284 Å, 90.00 90.00 90.00°
Positions (direct):
Pb  0.500  0.500  0.706
Pb  0.500  0.500  0.911
Tl  0.000  0.000  0.193
Tl  0.000  0.000  0.398
Tl  0.000  0.000  0.602
Pb  0.500  0.500  0.294
Pb  0.500  0.500  0.500
Cd  0.000  0.000  0.000
Pb  0.500  0.500  0.089
Tl  0.000  0.000  0.807

Computed properties:
The volume comes out at 304.3 Å³ per cell. Its space-group type is No. 123. The calculation puts the calculated formation energy at 8 meV per atom. The mass density comes out at 10.7 g/cm³.

4.
## SbMoCl4 (PBE-GGA)

Data for SbMoCl4 after structural relaxation.

Cell: 5.801 5.801 5.801 Å, 60.00 60.00 60.00°
Last column: magnetic moment on the atom in μB.
Positions (direct):
Cl  0.375  0.874  0.375  -0.16
Cl  0.874  0.375  0.375  -0.16
Cl  0.375  0.375  0.874  -0.16
Cl  0.375  0.375  0.375  -0.16
Mo  0.750  0.750  0.750  3.46
Sb  0.000  0.000  0.000  -0.18

Computed properties:
The volume comes out at 138.0 Å³ per cell. Its space-group type is No. 216. The mass density comes out at 4.3 g/cm³. Its formation energy from raw total energies is 954 meV/atom.

5.
## K2AlRe (PBE-GGA)

Data for K2AlRe after structural relaxation.

Cell: 5.798 3.935 3.935 Å, 90.00 90.00 90.00°
Positions (direct):
Al  0.500  0.000  0.500
Re  0.500  0.500  0.000
K  0.000  0.000  0.000
K  0.000  0.500  0.500

Computed properties:
The volume comes out at 89.8 Å³ per cell. Its space-group type is No. 123. The calculation puts the calculated formation energy at 1203 meV per atom. The mass density comes out at 5.4 g/cm³.

6.
## K2Tb2CeS6 (PBE-GGA)

Data for K2Tb2CeS6 after structural relaxation.

Cell: 7.021 7.021 7.864 Å, 98.64 98.64 119.95°
Positions (direct):
S  0.937  0.604  0.305
K  0.168  0.832  0.000
S  0.396  0.063  0.695
S  0.262  0.262  0.305
Ce  0.000  0.000  0.500
Tb  0.334  0.666  0.500
K  0.832  0.168  0.000
S  0.738  0.738  0.695
S  0.063  0.396  0.695
S  0.604  0.937  0.305
Tb  0.666  0.334  0.500

Computed properties:
The volume comes out at 320.5 Å³ per cell. Its space-group type is No. 12. The mass density comes out at 3.8 g/cm³. Its formation energy from raw total energies is -1858 meV/atom.

7.
## BaInAgAu (PBE-GGA)

Data for BaInAgAu after structural relaxation.

Cell: 4.864 4.870 6.299 Å, 112.72 90.00 119.96°
Positions (direct):
Au  0.414  0.828  0.884
Ba  0.617  0.234  0.493
In  0.117  0.235  0.994
Ag  0.818  0.636  0.096

Computed properties:
The volume comes out at 115.7 Å³ per cell. Its space-group type is No. 160. The calculation puts the calculated formation energy at -412 meV per atom. The mass density comes out at 8.0 g/cm³.

8.
## K3RbAu (PBE-GGA)

Data for K3RbAu after structural relaxation.

Cell: 7.217 7.217 12.762 Å, 73.58 73.58 90.00°
Positions (direct):
Rb  0.959  0.459  0.083
Rb  0.541  0.041  0.917
Au  0.000  0.000  0.000
K  0.623  0.874  0.253
K  0.289  0.289  0.422
K  0.124  0.874  0.253
K  0.126  0.876  0.747
K  0.126  0.377  0.747
Au  0.250  0.750  0.500
K  0.711  0.711  0.578

Computed properties:
The volume comes out at 609.2 Å³ per cell. Its space-group type is No. 119. The calculation puts the calculated formation energy at -62 meV per atom. The relative energy among the computed polymorphs is 71 meV/atom. The mass density comes out at 2.2 g/cm³.

9.
## Sm4GaS2Br (PBE-GGA)

Data for Sm4GaS2Br after structural relaxation.

Cell: 3.991 7.216 7.304 Å, 72.05 90.00 90.00°
Positions (direct):
Sm  0.000  0.223  0.277
Ga  0.000  0.500  0.500
Sm  0.000  0.777  0.723
Br  0.500  0.500  0.000
S  0.000  0.000  0.000
S  0.500  0.000  0.500
Sm  0.500  0.232  0.746
Sm  0.500  0.768  0.254

Computed properties:
The volume comes out at 200.1 Å³ per cell. Its space-group type is No. 10. The mass density comes out at 6.8 g/cm³. Its formation energy from raw total energies is -1452 meV/atom.

10.
## SnIrSe3 (PBE-GGA)

Data for SnIrSe3 after structural relaxation.

Cell: 3.850 6.796 9.377 Å, 91.91 90.00 90.00°
Positions (direct):
Ir  0.250  0.921  0.828
Se  0.750  0.053  0.685
Se  0.750  0.805  0.981
Ir  0.750  0.079  0.172
Sn  0.750  0.420  0.805
Se  0.750  0.384  0.334
Se  0.250  0.195  0.019
Sn  0.250  0.580  0.195
Se  0.250  0.947  0.315
Se  0.250  0.616  0.666

Computed properties:
The volume comes out at 245.2 Å³ per cell. Its space-group type is No. 11. The relative energy among the computed polymorphs is 0 meV/atom. The mass density comes out at 7.4 g/cm³. Its formation energy from raw total energies is -309 meV/atom.

11.
## Rh2WBr (PBE-GGA)

Data for Rh2WBr after structural relaxation.

Cell: 4.790 4.790 2.836 Å, 90.00 90.00 90.00°
Positions (direct):
Br  0.000  0.500  0.500
Rh  0.500  0.500  0.000
Rh  0.000  0.000  0.000
W  0.500  0.000  0.500

Computed properties:
The volume comes out at 65.1 Å³ per cell. Its space-group type is No. 123. The relative energy among the computed polymorphs is 591 meV/atom. The mass density comes out at 12.0 g/cm³. Its formation energy from raw total energies is 741 meV/atom.

12.
## VWSe6 (PBE-GGA)

Data for VWSe6 after structural relaxation.

Cell: 6.331 6.351 7.049 Å, 56.31 56.20 57.47°
Last column: magnetic moment on the atom in μB.
Positions (direct):
Se  0.951  0.558  0.246  -0.02
W  0.500  0.500  0.500  0.07
Se  0.648  0.146  0.352  -0.02
Se  0.352  0.854  0.648  -0.02
V  0.000  0.000  0.000  0.79
Se  0.650  0.144  0.853  -0.02
Se  0.049  0.442  0.754  -0.02
Se  0.350  0.856  0.147  -0.02

Computed properties:
The volume comes out at 184.9 Å³ per cell. Its space-group type is No. 2. The mass density comes out at 6.4 g/cm³. Its formation energy from raw total energies is -208 meV/atom.

13.
## Ca2TaAs (PBE-GGA)

Data for Ca2TaAs after structural relaxation.

Cell: 4.313 4.120 6.254 Å, 70.78 90.00 90.00°
Positions (direct):
Ca  0.000  0.973  0.929
Ca  0.500  0.278  0.318
Ta  0.000  0.683  0.509
As  0.500  0.566  0.744

Computed properties:
The volume comes out at 104.9 Å³ per cell. Its space-group type is No. 38. The calculation puts the calculated formation energy at -16 meV per atom. The mass density comes out at 5.3 g/cm³.

14.
## SrZr2Ru (PBE-GGA)

Data for SrZr2Ru after structural relaxation.

Cell: 3.266 3.266 9.470 Å, 90.00 90.00 90.10°
Positions (direct):
Sr  0.500  0.500  0.750
Ru  0.500  0.500  0.250
Zr  0.000  0.000  0.420
Zr  0.000  0.000  0.080

Computed properties:
The volume comes out at 101.0 Å³ per cell. Its space-group type is No. 65. The calculation puts the calculated formation energy at 55 meV per atom. The relative energy among the computed polymorphs is 0 meV/atom. The mass density comes out at 6.1 g/cm³.

15.
## As3IrF (PBE-GGA)

Data for As3IrF after structural relaxation.

Cell: 4.852 4.852 4.852 Å, 90.00 90.00 90.00°
Last column: magnetic moment on the atom in μB.
Positions (direct):
As  0.000  0.000  0.500  0.26
Ir  0.000  0.000  0.000  0.36
As  0.000  0.500  0.000  0.20
As  0.500  0.000  0.000  0.08
F  0.500  0.500  0.500  0.11

Computed properties:
The volume comes out at 114.2 Å³ per cell. Its space-group type is No. 221. The relative energy among the computed polymorphs is 0 meV/atom. The mass density comes out at 6.3 g/cm³. Its formation energy from raw total energies is 416 meV/atom.

16.
## PaTa2Cr (PBE-GGA)

Data for PaTa2Cr after structural relaxation.

Cell: 3.099 3.099 7.750 Å, 90.00 90.00 90.00°
Positions (direct):
Pa  0.500  0.500  0.500
Ta  0.000  0.000  0.195
Cr  0.500  0.500  0.000
Ta  0.000  0.000  0.805

Computed properties:
The volume comes out at 74.4 Å³ per cell. Its space-group type is No. 123. The calculation puts the calculated formation energy at 172 meV per atom. The mass density comes out at 14.4 g/cm³.

17.
## AcSi2Se6 (PBE-GGA)

Data for AcSi2Se6 after structural relaxation.

Cell: 6.750 8.939 8.939 Å, 85.17 76.78 76.78°
Last column: magnetic moment on the atom in μB.
Positions (direct):
Si  0.712  0.360  0.230  0.00
Si  0.288  0.640  0.770  0.00
Se  0.507  0.730  0.550  0.02
Ac  0.750  0.833  0.167  0.02
Se  0.505  0.574  0.148  0.21
Se  0.493  0.270  0.450  0.02
Se  0.993  0.450  0.270  0.02
Se  0.007  0.550  0.730  0.02
Ac  0.250  0.167  0.833  0.02
Si  0.212  0.230  0.360  0.00
Se  0.495  0.426  0.852  0.21
Se  0.995  0.852  0.426  0.21
Se  0.185  0.826  0.947  0.01
Se  0.005  0.148  0.574  0.21
Si  0.788  0.770  0.640  0.00
Se  0.685  0.947  0.826  0.01
Se  0.315  0.053  0.174  0.01
Se  0.815  0.174  0.053  0.01

Computed properties:
The volume comes out at 510.9 Å³ per cell. Its space-group type is No. 15. The mass density comes out at 4.9 g/cm³. Its formation energy from raw total energies is -716 meV/atom.

18.
## SrCaCuGe (PBE-GGA)

Data for SrCaCuGe after structural relaxation.

Cell: 5.236 5.236 5.236 Å, 60.00 60.00 60.00°
Positions (direct):
Sr  0.500  0.500  0.500
Cu  0.750  0.750  0.750
Ca  0.000  0.000  0.000
Ge  0.250  0.250  0.250

Computed properties:
The volume comes out at 101.5 Å³ per cell. Its space-group type is No. 216. The calculation puts the calculated formation energy at -290 meV per atom. The mass density comes out at 4.3 g/cm³.

19.
## Hg3Te8Pd3 (PBE-GGA)

Data for Hg3Te8Pd3 after structural relaxation.

Cell: 8.430 8.430 8.430 Å, 60.02 60.02 60.02°
Positions (direct):
Hg  0.624  0.624  0.624
Pd  0.000  0.000  0.500
Te  0.752  0.752  0.204
Hg  0.376  0.376  0.376
Hg  0.000  0.000  0.000
Te  0.767  0.767  0.767
Te  0.248  0.248  0.796
Te  0.204  0.752  0.752
Te  0.233  0.233  0.233
Pd  0.500  0.000  0.000
Te  0.248  0.796  0.248
Te  0.796  0.248  0.248
Te  0.752  0.204  0.752
Pd  0.000  0.500  0.000

Computed properties:
The volume comes out at 423.8 Å³ per cell. Its space-group type is No. 166. The mass density comes out at 7.6 g/cm³. Its formation energy from raw total energies is -156 meV/atom.

20.
## Tb2Pm3Ho6In (PBE-GGA)

Data for Tb2Pm3Ho6In after structural relaxation.

Cell: 6.116 6.116 11.669 Å, 95.02 95.02 120.00°
Positions (direct):
Ho  0.081  0.409  0.244
In  0.000  0.000  0.000
Pm  0.500  0.500  0.500
Tb  0.334  0.666  0.000
Ho  0.247  0.247  0.755
Ho  0.753  0.753  0.245
Pm  0.167  0.833  0.500
Pm  0.833  0.167  0.500
Ho  0.919  0.591  0.756
Ho  0.409  0.081  0.244
Tb  0.666  0.334  0.000
Ho  0.591  0.919  0.756

Computed properties:
The volume comes out at 372.2 Å³ per cell. Its space-group type is No. 12. The calculation puts the calculated formation energy at -43 meV per atom. The mass density comes out at 8.3 g/cm³.